This record from Alexandria via LeMat-Bulk describes EuHoTlHg after structural relaxation. The functional is PBE.

Properties
ΔE_f   -0.425 eV per atom
M_tot   7.2 μB per formula unit
Calculated total energy   -19.22 eV/f.u.
Volume   112.9 Å³ per cell

abc: 5.426 5.426 5.426
angles: 60.00 60.00 60.00
Each line ends with the local moment (μB).
Fractional coordinates of all 4 atoms:
Eu 0.250 0.250 0.250  6.85
Tl 0.000 0.000 0.000  -0.01
Ho 0.750 0.750 0.750  0.05
Hg 0.500 0.500 0.500  0.01